(1)
Entry from Alexandria: a relaxed CrInOs2 crystal (PBE).

Calculated values
density of states at the Fermi level: 1.03 states/eV per atom
formation energy: 0.52 eV per atom
mass density: 14.861 g cm⁻³

```
data_CrInOs2
_chemical_formula_sum 'Cr2 In2 Os4'
_cell_length_a 3.119
_cell_length_b 4.423
_cell_length_c 8.864
_cell_angle_alpha 90.00
_cell_angle_beta 90.00
_cell_angle_gamma 90.00
_space_group_name_H-M_alt 'I m m 2'
_space_group_IT_number 44
loop_
_space_group_symop_operation_xyz
'x,y,z'
'-x,-y,z'
'-x,y,z'
'x,-y,z'
'x+1/2,y+1/2,z+1/2'
'-x+1/2,-y+1/2,z+1/2'
'-x+1/2,y+1/2,z+1/2'
'x+1/2,-y+1/2,z+1/2'
loop_
_atom_site_label
_atom_site_type_symbol
_atom_site_fract_x
_atom_site_fract_y
_atom_site_fract_z
Cr1 Cr 0.000 0.000 0.000
In1 In 0.000 0.500 0.752
Os1 Os 0.000 0.000 0.513
Os2 Os 0.000 0.500 0.270
```

=====

(2)
Entry from Alexandria: a relaxed Cr2InOs crystal (PBE).

Calculated values
density of states at the Fermi level: 1.23 states/eV per atom
formation energy: 0.34 eV per atom
mass density: 11.270 g cm⁻³

```
data_Cr2InOs
_chemical_formula_sum 'Cr2 In1 Os1'
_cell_length_a 2.828
_cell_length_b 3.814
_cell_length_c 5.588
_cell_angle_alpha 90.00
_cell_angle_beta 90.14
_cell_angle_gamma 90.00
_space_group_name_H-M_alt 'P 1 2/m 1'
_space_group_IT_number 10
loop_
_space_group_symop_operation_xyz
'x,y,z'
'-x,-y,-z'
'-x,y,-z'
'x,-y,z'
loop_
_atom_site_label
_atom_site_type_symbol
_atom_site_fract_x
_atom_site_fract_y
_atom_site_fract_z
Cr1 Cr 0.004 0.000 0.304
In1 In 0.500 0.500 0.000
Os1 Os 0.500 0.500 0.500
```

=====

Please write out number 2 again, unchanged.
Entry from Alexandria: a relaxed Cr2InOs crystal (PBE).

Calculated values
density of states at the Fermi level: 1.23 states/eV per atom
formation energy: 0.34 eV per atom
mass density: 11.270 g cm⁻³

```
data_Cr2InOs
_chemical_formula_sum 'Cr2 In1 Os1'
_cell_length_a 2.828
_cell_length_b 3.814
_cell_length_c 5.588
_cell_angle_alpha 90.00
_cell_angle_beta 90.14
_cell_angle_gamma 90.00
_space_group_name_H-M_alt 'P 1 2/m 1'
_space_group_IT_number 10
loop_
_space_group_symop_operation_xyz
'x,y,z'
'-x,-y,-z'
'-x,y,-z'
'x,-y,z'
loop_
_atom_site_label
_atom_site_type_symbol
_atom_site_fract_x
_atom_site_fract_y
_atom_site_fract_z
Cr1 Cr 0.004 0.000 0.304
In1 In 0.500 0.500 0.000
Os1 Os 0.500 0.500 0.500
```